1.
Below is an optimized crystal structure of Rb2PBrO, with properties calculated at the PBE level.

The structure in CIF format:
```
data_Rb2PBrO
_cell_length_a 6.488
_cell_length_b 6.488
_cell_length_c 5.028
_cell_angle_alpha 90.00
_cell_angle_beta 90.00
_cell_angle_gamma 90.00
_symmetry_space_group_name_H-M 'P 4/m m m'
_symmetry_Int_Tables_number 123
_symmetry_space_group_name_Hall '-P 4 2'
loop_
_atom_site_label
_atom_site_fract_x
_atom_site_fract_y
_atom_site_fract_z
Rb1 0.000 0.500 0.000
P1 0.000 0.000 0.500
Br1 0.000 0.000 0.000
O1 0.500 0.500 0.500
```

Calculated values
DOS at the Fermi energy   6.50 states/eV per cell
Energy   -13.7 eV per formula unit
Uncorrected formation energy   0.0566 eV per atom
Density   2.336 Mg/m³

---

2.
Below is an optimized crystal structure of Rb2PBr6O, with properties calculated at the PBE level.

The structure in CIF format:
```
data_Rb2PBr6O
_cell_length_a 8.107
_cell_length_b 8.107
_cell_length_c 9.227
_cell_angle_alpha 90.00
_cell_angle_beta 90.00
_cell_angle_gamma 90.00
_symmetry_space_group_name_H-M 'I 4/m m m'
_symmetry_Int_Tables_number 139
_symmetry_space_group_name_Hall '-I 4 2'
loop_
_atom_site_label
_atom_site_fract_x
_atom_site_fract_y
_atom_site_fract_z
Rb1 0.000 0.500 0.250
P1 0.000 0.000 0.000
Br1 0.000 0.000 0.268
Br2 0.220 0.220 0.000
O1 0.000 0.000 0.500
```

Calculated values
DOS at the Fermi energy   20.39 states/eV per cell
Energy   -28.6 eV per formula unit
Uncorrected formation energy   -0.6292 eV per atom
Density   3.819 Mg/m³